# 1
{"formula": "Cs7Rb3S", "functional": "PBE", "state": "relaxed", "cell": [[6.108, -7.109, 0.000], [6.108, 7.109, 0.000], [-6.105, 0.000, 12.134]], "species": ["Cs", "Cs", "Cs", "Cs", "Cs", "Cs", "Cs", "Rb", "Rb", "Rb", "S"], "frac_coords": [[0.000, 0.000, 0.000], [0.113, 0.450, 0.818], [0.334, 0.995, 0.435], [0.450, 0.113, 0.818], [0.522, 0.522, 0.680], [0.920, 0.920, 0.565], [0.995, 0.334, 0.435], [0.449, 0.449, 0.255], [0.548, 0.895, 0.130], [0.895, 0.548, 0.130], [0.222, 0.222, 0.626]], "dos_at_fermi_per_ev_cell": 7.82, "formation_energy_uncorrected_ev_per_atom": -0.268, "dft_energy_ev_per_atom": -1.45, "density_g_cm3": 1.92}



# 2
{"formula": "Pr2YTm7", "functional": "PBE", "state": "relaxed", "cell": [[6.127, 0.000, 0.000], [2.016, 6.792, 0.000], [2.062, 1.224, 7.550]], "species": ["Pr", "Pr", "Y", "Tm", "Tm", "Tm", "Tm", "Tm", "Tm", "Tm"], "frac_coords": [[0.202, 0.299, 0.101], [0.798, 0.701, 0.899], [0.000, 0.000, 0.500], [0.000, 0.500, 0.500], [0.199, 0.800, 0.101], [0.399, 0.102, 0.697], [0.401, 0.600, 0.697], [0.599, 0.400, 0.303], [0.601, 0.898, 0.303], [0.801, 0.200, 0.899]], "dos_at_fermi_per_ev_cell": 14.58, "dft_energy_ev_per_atom": -4.70, "e_form_ev_per_atom": 0.0279, "density_g_cm3": 8.21}



# 3
{"formula": "Zr2Ni2I", "functional": "PBE", "state": "relaxed", "cell": [[7.344, 0.000, 0.000], [0.000, 7.344, 0.000], [0.000, 0.000, 3.457]], "species": ["Zr", "Zr", "Zr", "Zr", "Ni", "Ni", "Ni", "Ni", "I", "I"], "frac_coords": [[0.160, 0.340, 0.000], [0.340, 0.840, 0.000], [0.660, 0.160, 0.000], [0.840, 0.660, 0.000], [0.122, 0.622, 0.500], [0.378, 0.122, 0.500], [0.622, 0.878, 0.500], [0.878, 0.378, 0.500], [0.000, 0.000, 0.500], [0.500, 0.500, 0.500]], "dos_at_fermi_per_ev_cell": 5.51, "formation_energy_uncorrected_ev_per_atom": -0.138, "dft_energy_ev_per_atom": -6.18, "density_g_cm3": 7.60}